# RbUWO6

A relaxed structure of RbUWO6 (PBE+U, the Alexandria database).

Cell lengths 7.517, 7.834, 7.705 Å; angles 120.56, 119.20, 90.00 degrees
Site moments in Bohr magnetons follow the coordinates.
Positions (direct):
O: 0.167 0.944 0.742  -0.02
O: 0.574 0.298 0.742  -0.02
O: 0.576 0.326 0.152  -0.04
O: 0.833 0.056 0.258  -0.02
O: 0.426 0.056 0.258  -0.02
Rb: 0.125 0.375 0.249  0.00
O: 0.167 0.298 0.742  -0.02
O: 0.833 0.702 0.258  -0.02
O: 0.424 0.674 0.848  -0.04
U: 0.500 0.500 0.000  1.01
W: 0.500 0.000 0.500  0.06
O: 0.426 0.702 0.258  -0.02
U: 0.500 0.000 0.000  1.01
O: 0.202 0.952 0.404  -0.01
Rb: 0.875 0.625 0.751  0.00
W: 0.000 0.000 0.500  0.06
O: 0.574 0.944 0.742  -0.02
O: 0.798 0.048 0.596  -0.01

Electronic total energy = -7.996 eV/atom
Crystal system = orthorhombic